Entry 1:
A relaxed structure of LiTeIr2. Source: the Alexandria database, functional PBE.

abc: 4.770 4.770 4.165
angles: 71.06 71.06 45.52
Positions (direct):
Ir: 0.750 0.750 0.699
Ir: 0.999 0.999 0.037
Te: 0.257 0.257 0.228
Li: 0.493 0.493 0.536

Computed properties:
D(E_F) = 0.78 states/eV per atom
Volume = 15.82 A^3/atom
Raw formation energy = 0.080 eV per atom

Entry 2:
A relaxed structure of LiTe4Ir. Source: the Alexandria database, functional PBE.

abc: 6.206 6.206 6.206
angles: 60.00 60.00 60.00
Site moments in Bohr magnetons follow the coordinates.
Positions (direct):
Li: 0.000 0.000 0.000  0.00
Te: 0.872 0.376 0.376  0.04
Te: 0.376 0.872 0.376  0.04
Te: 0.376 0.376 0.872  0.04
Te: 0.376 0.376 0.376  0.04
Ir: 0.750 0.750 0.750  1.01

Computed properties:
D(E_F) = 1.63 states/eV per atom
Volume = 28.16 A^3/atom
Raw formation energy = 0.893 eV per atom

Entry 3:
A relaxed structure of LiTe2Ir. Source: the Alexandria database, functional PBE.

abc: 6.856 6.856 6.856
angles: 149.51 147.60 45.09
Positions (direct):
Te: 0.032 0.032 0.000
Te: 0.298 0.798 0.500
Li: 0.715 0.215 0.500
Ir: 0.454 0.454 0.000

Computed properties:
D(E_F) = 0.45 states/eV per atom
Volume = 21.84 A^3/atom
Raw formation energy = -0.133 eV per atom

Entry 4:
A relaxed structure of LiTeIr2. Source: the Alexandria database, functional PBE.

abc: 8.543 8.543 8.543
angles: 20.59 20.59 20.59
Positions (direct):
Li: 0.250 0.250 0.250
Ir: 0.000 0.000 0.000
Ir: 0.500 0.500 0.500
Te: 0.750 0.750 0.750

Computed properties:
D(E_F) = 1.16 states/eV per atom
Volume = 16.88 A^3/atom
Raw formation energy = 0.447 eV per atom

Entry 5:
A relaxed structure of LiTe2Ir. Source: the Alexandria database, functional PBE.

abc: 4.975 4.976 3.186
angles: 90.00 90.00 90.00
Positions (direct):
Te: 0.000 0.000 0.000
Te: 0.500 0.500 0.000
Ir: 0.500 0.000 0.500
Li: 0.000 0.500 0.500

Computed properties:
D(E_F) = 0.69 states/eV per atom
Volume = 19.72 A^3/atom
Raw formation energy = -0.036 eV per atom

Entry 6:
A relaxed structure of LiTeIr2. Source: the Alexandria database, functional PBE.

abc: 3.132 3.452 5.811
angles: 90.00 90.00 90.00
Positions (direct):
Te: 0.500 0.500 0.750
Ir: 0.000 0.000 0.484
Ir: 0.000 0.000 0.016
Li: 0.500 0.500 0.250

Computed properties:
D(E_F) = 0.70 states/eV per atom
Volume = 15.71 A^3/atom
Raw formation energy = 0.157 eV per atom

Entry 7:
A relaxed structure of LiYTe2Ir. Source: the Alexandria database, functional PBE.

abc: 5.495 5.075 5.495
angles: 90.00 90.00 90.00
Positions (direct):
Ir: 0.000 0.000 0.000
Te: 0.000 0.000 0.500
Te: 0.500 0.000 0.000
Li: 0.500 0.500 0.500
Y: 0.000 0.500 0.000

Computed properties:
D(E_F) = 0.79 states/eV per atom
Volume = 30.65 A^3/atom
Raw formation energy = -0.096 eV per atom

Entry 8:
A relaxed structure of LiTh3Ir8. Source: the Alexandria database, functional PBE.

abc: 5.401 5.401 9.357
angles: 73.23 73.23 60.00
Positions (direct):
Li: 0.868 0.868 0.396
Ir: 0.688 0.688 0.936
Ir: 0.188 0.188 0.435
Ir: 0.939 0.439 0.684
Ir: 0.436 0.941 0.187
Ir: 0.939 0.939 0.684
Ir: 0.436 0.436 0.187
Ir: 0.941 0.436 0.187
Ir: 0.439 0.939 0.684
Th: 0.992 0.992 0.025
Th: 0.507 0.507 0.480
Th: 0.378 0.378 0.866

Computed properties:
D(E_F) = 0.47 states/eV per atom
Volume = 18.57 A^3/atom
Formation energy from the elements = -68.10 kJ/mol of atoms

Entry 9:
A relaxed structure of Li2ThIr2. Source: the Alexandria database, functional PBE.

abc: 5.262 5.262 4.477
angles: 64.67 64.67 50.33
Positions (direct):
Li: 0.367 0.367 0.631
Li: 0.633 0.633 0.369
Ir: 0.750 0.750 0.750
Ir: 0.250 0.250 0.250
Th: 0.000 0.000 0.000

Computed properties:
D(E_F) = 0.43 states/eV per atom
Volume = 16.82 A^3/atom
Formation energy from the elements = -36.32 kJ/mol of atoms

Entry 10:
A relaxed structure of LiTh2Ir2. Source: the Alexandria database, functional PBE.

abc: 4.403 5.530 5.530
angles: 64.94 66.54 66.54
Positions (direct):
Th: 0.698 0.802 0.302
Th: 0.302 0.198 0.698
Ir: 0.000 0.755 0.745
Ir: 0.000 0.245 0.255
Li: 0.500 0.500 0.000

Computed properties:
D(E_F) = 0.73 states/eV per atom
Volume = 21.51 A^3/atom
Formation energy from the elements = -68.44 kJ/mol of atoms

Entry 11:
A relaxed structure of LiThIr2. Source: the Alexandria database, functional PBE.

abc: 3.932 4.263 4.263
angles: 90.00 90.00 90.00
Positions (direct):
Li: 0.500 0.000 0.000
Th: 0.500 0.500 0.500
Ir: 0.000 0.000 0.500
Ir: 0.000 0.500 0.000

Computed properties:
D(E_F) = 0.52 states/eV per atom
Volume = 17.86 A^3/atom
Formation energy from the elements = -56.07 kJ/mol of atoms

Entry 12:
A relaxed structure of LiThIr. Source: the Alexandria database, functional PBE.

abc: 3.989 7.298 12.636
angles: 90.66 90.00 90.00
Positions (direct):
Li: 0.250 0.014 0.078
Li: 0.750 0.119 0.536
Li: 0.750 0.986 0.922
Li: 0.250 0.881 0.464
Li: 0.750 0.617 0.803
Li: 0.250 0.383 0.197
Ir: 0.250 0.732 0.922
Ir: 0.750 0.268 0.078
Ir: 0.750 0.231 0.751
Ir: 0.750 0.731 0.589
Ir: 0.250 0.769 0.249
Ir: 0.250 0.269 0.411
Th: 0.750 0.063 0.284
Th: 0.250 0.937 0.716
Th: 0.750 0.554 0.375
Th: 0.250 0.327 0.921
Th: 0.250 0.446 0.625
Th: 0.750 0.673 0.079

Computed properties:
D(E_F) = 0.47 states/eV per atom
Volume = 20.43 A^3/atom
Relative energy among the computed polymorphs = 0 meV per atom
Formation energy from the elements = -62.42 kJ/mol of atoms